Compound: MnPbF5
Source: Alexandria via LeMat-Bulk
Functional: GGA+U
Structure: relaxed

Its symmetry is C2/c (15). The electronic total energy is -5.386 eV/atom.

a = 5.8387 Å, b = 5.8387 Å, c = 8.3105 Å
α = 69.18°, β = 69.18°, γ = 70.62°
Atoms (fractional coordinates):
Mn (0.0000, 0.0000, 0.0000)
Mn (0.0000, 0.0000, 0.5000)
Pb (0.5498, 0.4502, 0.7500)
Pb (0.4502, 0.5498, 0.2500)
F (0.2337, 0.2000, 0.8890)
F (0.2975, 0.7261, 0.5268)
F (0.2000, 0.2337, 0.3890)
F (0.9216, 0.0784, 0.7500)
F (0.2739, 0.7025, 0.9732)
F (0.7261, 0.2975, 0.0268)
F (0.0784, 0.9216, 0.2500)
F (0.8000, 0.7663, 0.6110)
F (0.7025, 0.2739, 0.4732)
F (0.7663, 0.8000, 0.1110)